{
  "formula": "KSe2Cl",
  "functional": "PBE",
  "state": "optimized geometry",
  "e_form_raw_mev_per_atom": -533,
  "de_polymorph_ev_per_atom": 0.266,
  "lattice": [[5.0657, 0.0000, 0.0000], [0.0000, 5.0657, 0.0000], [0.0000, 0.0000, 5.9062]],
  "species": ["K", "Cl", "Se", "Se"],
  "fractional_positions": [[0.5000, 0.5000, 0.7500], [0.5000, 0.5000, 0.2500], [0.0000, 0.0000, 0.5612], [0.0000, 0.0000, 0.9388]]
}

---

{
  "formula": "Cs2LaSeI6",
  "functional": "PBE",
  "state": "optimized geometry",
  "e_form_raw_mev_per_atom": -1065,
  "lattice": [[9.5430, 0.0000, 0.0000], [0.0000, 9.5430, 0.0000], [4.7715, 4.7715, 5.9083]],
  "species": ["Cs", "I", "I", "Cs", "La", "I", "I", "Se", "I", "I"],
  "fractional_positions": [[0.2500, 0.7500, 0.5000], [0.2320, 0.7680, 0.0000], [0.7305, 0.7305, 0.5391], [0.7500, 0.2500, 0.5000], [0.0000, 0.0000, 0.0000], [0.2320, 0.2320, 0.0000], [0.2695, 0.2695, 0.4609], [0.5000, 0.5000, 0.0000], [0.7680, 0.7680, 0.0000], [0.7680, 0.2320, 0.0000]]
}

---

{
  "formula": "AcLa2TbTe5",
  "functional": "PBE",
  "state": "optimized geometry",
  "e_form_raw_mev_per_atom": -1045,
  "lattice": [[5.5329, 0.0000, 0.0000], [0.0000, 5.5329, 0.0000], [0.0000, 0.0000, 12.2280]],
  "species": ["La", "Te", "Te", "Te", "Tb", "La", "Ac", "Te", "Te"],
  "fractional_positions": [[0.5000, 0.5000, 0.6581], [0.0000, 0.5000, 0.5000], [0.5000, 0.0000, 0.5000], [0.5000, 0.5000, 0.0000], [0.0000, 0.0000, 0.5000], [0.5000, 0.5000, 0.3419], [0.0000, 0.0000, 0.0000], [0.0000, 0.0000, 0.2551], [0.0000, 0.0000, 0.7449]]
}